The following is a DFT calculation (PBE) of crystalline RbFeCo at its relaxed geometry.

Properties
Energy of formation ... 1.022 eV/atom

Unit cell a=3.8850 b=3.8850 c=5.7937 alpha=90.00 beta=90.00 gamma=120.00
Last column: nearest neighbours and their distance in Å.
Space group P-6m2 (No. 187)
Unique sites:
Rb  0.0000  0.0000  0.0000  6 Co 3.66, 6 Fe 3.66, 6 Rb 3.88
Fe  0.3333  0.6667  0.5000  3 Co 2.24
Co  0.6667  0.3333  0.5000  3 Fe 2.24